Material: SrAc2PuO6
Method: DFT, GGA-PBE
State: optimized geometry

Results
Formation energy from raw total energies ... -2926 meV per atom
Magnetization ... 4.00 μB per formula unit

Lattice parameters (Å, degrees): 5.7200 5.7200 5.8295 90.00 90.00 90.00
With the nearest neighbours (Å) after each atom.
Atoms (fractional coordinates):
Sr (0.0000, 0.0000, 0.0000)  5 O 2.39-2.40
Ac (0.0000, 0.5000, 0.4499)  4 O 2.51
Ac (0.5000, 0.0000, 0.4499)  4 O 2.51
Pu (0.5000, 0.5000, 0.0400)  5 O 2.14-2.22
O (0.0000, 0.0000, 0.5908)  1 Sr 2.39
O (0.2610, 0.2610, 0.1961)  1 Pu 2.14
O (0.2610, 0.7390, 0.1961)  1 Pu 2.14
O (0.5000, 0.5000, 0.6588)  1 Pu 2.22
O (0.7390, 0.2610, 0.1961)  1 Pu 2.14
O (0.7390, 0.7390, 0.1961)  1 Pu 2.14



Material: LiTa2Al
Method: DFT, GGA-PBE
State: optimized geometry

Results
ΔH_f (0 K) ... 0.13 eV per atom
Magnetization ... 0.00 μB per formula unit

Lattice parameters (Å, degrees): 5.4562 5.4562 5.4562 145.44 132.43 60.12
With the nearest neighbours (Å) after each atom.
Atoms (fractional coordinates):
Li (0.0000, 0.0000, 0.0000)  4 Al 2.73, 4 Ta 2.88
Ta (0.2517, 0.7517, 0.5000)  4 Ta 2.73, 2 Al 2.85, 2 Li 2.88
Ta (0.7483, 0.2483, 0.5000)  4 Ta 2.73, 2 Al 2.85, 2 Li 2.88
Al (0.5000, 0.5000, 0.0000)  4 Li 2.73, 4 Ta 2.85



Material: EuHoGe2
Method: DFT, GGA-PBE
State: optimized geometry

Results
ΔH_f (0 K) ... -0.55 eV per atom
Magnetization ... 6.97 μB per formula unit

Lattice parameters (Å, degrees): 5.3231 5.3231 3.3602 90.00 90.00 90.00
With the nearest neighbours (Å) after each atom.
Atoms (fractional coordinates):
Eu (0.0000, 0.0000, 0.0000)  8 Ge 3.15, 2 Eu 3.36
Ho (0.5000, 0.5000, 0.0000)  8 Ge 3.15, 2 Ho 3.36
Ge (0.0000, 0.5000, 0.5000)  4 Ho 3.15, 4 Eu 3.15, 2 Ge 3.36
Ge (0.5000, 0.0000, 0.5000)  4 Ho 3.15, 4 Eu 3.15, 2 Ge 3.36



Material: Nd6Mg2Zn
Method: DFT, GGA-PBE
State: optimized geometry

Results
ΔH_f (0 K) ... 0.02 eV per atom
Magnetization ... 0.00 μB per formula unit

Lattice parameters (Å, degrees): 6.5949 9.6669 10.0183 90.00 117.06 90.00
With the nearest neighbours (Å) after each atom.
Atoms (fractional coordinates):
Nd (0.0776, 0.0336, 0.2052)  1 Zn 3.02
Nd (0.0776, 0.4664, 0.7052)  1 Zn 3.02
Nd (0.1450, 0.6905, 0.0469)  1 Zn 3.18, 2 Mg 3.19-3.44, 2 Nd 3.50-3.52
Nd (0.1450, 0.8095, 0.5469)  1 Zn 3.18, 2 Mg 3.19-3.44, 2 Nd 3.50-3.52
Nd (0.4155, 0.1754, 0.0225)  3 Mg 3.07-3.42, 1 Zn 3.21
Nd (0.4155, 0.3246, 0.5225)  3 Mg 3.07-3.42, 1 Zn 3.21
Nd (0.5845, 0.6754, 0.4775)  3 Mg 3.07-3.42, 1 Zn 3.21
Nd (0.5845, 0.8246, 0.9775)  3 Mg 3.07-3.42, 1 Zn 3.21
Nd (0.8550, 0.1905, 0.4531)  1 Zn 3.18, 2 Mg 3.19-3.44, 2 Nd 3.50-3.52
Nd (0.8550, 0.3095, 0.9531)  1 Zn 3.18, 2 Mg 3.19-3.44, 2 Nd 3.50-3.52
Nd (0.9224, 0.5336, 0.2948)  1 Zn 3.02
Nd (0.9224, 0.9664, 0.7948)  1 Zn 3.02
Mg (0.3835, 0.0863, 0.7199)  1 Zn 2.77, 1 Nd 3.07
Mg (0.3835, 0.4137, 0.2199)  1 Zn 2.77, 1 Nd 3.07
Mg (0.6165, 0.5863, 0.7801)  1 Zn 2.77, 1 Nd 3.07
Mg (0.6165, 0.9137, 0.2801)  1 Zn 2.77, 1 Nd 3.07
Zn (0.5000, 0.0000, 0.5000)  2 Mg 2.77, 2 Nd 3.02
Zn (0.5000, 0.5000, 0.0000)  2 Mg 2.77, 2 Nd 3.02



Material: Ba7Sn3H2
Method: DFT, GGA-PBE
State: optimized geometry

Results
Total energy ... -3.13 eV/atom
Magnetization ... 0.00 μB per formula unit

Lattice parameters (Å, degrees): 15.0176 15.0176 5.2531 90.00 90.00 158.56
With the nearest neighbours (Å) after each atom.
Atoms (fractional coordinates):
Ba (0.0000, 0.0000, 0.0000)  2 H 2.83
Ba (0.0984, 0.9016, 0.5000)  2 H 2.63
Ba (0.2104, 0.7896, 0.0000)  1 H 3.38, 2 Ba 3.64
Ba (0.3968, 0.6032, 0.0000)  2 H 2.80
Ba (0.6032, 0.3968, 0.0000)  2 H 2.80
Ba (0.7896, 0.2104, 0.0000)  1 H 3.38, 2 Ba 3.64
Ba (0.9016, 0.0984, 0.5000)  2 H 2.63
Sn (0.3166, 0.6834, 0.5000)  8 Ba 3.54-3.92
Sn (0.5000, 0.5000, 0.5000)  12 Ba 3.83-4.03
Sn (0.6834, 0.3166, 0.5000)  8 Ba 3.54-3.92
H (0.0959, 0.9041, 0.0000)  5 Ba 2.63-2.83
H (0.9041, 0.0959, 0.0000)  5 Ba 2.63-2.83



Material: Cs3ScSe
Method: DFT, GGA-PBE
State: optimized geometry

Results
Formation energy from raw total energies ... 14 meV per atom
Magnetization ... 1.96 μB per formula unit

Lattice parameters (Å, degrees): 7.0018 7.0018 7.0018 90.00 90.00 90.00
With the nearest neighbours (Å) after each atom.
Atoms (fractional coordinates):
Cs (0.0000, 0.0000, 0.5000)  2 Se 3.50
Cs (0.0000, 0.5000, 0.0000)  2 Se 3.50
Cs (0.5000, 0.0000, 0.0000)  2 Se 3.50
Sc (0.5000, 0.5000, 0.5000)  12 Cs 4.95
Se (0.0000, 0.0000, 0.0000)  6 Cs 3.50



Material: Li2Pr3Ge4
Method: DFT, GGA-PBE
State: optimized geometry

Results
ΔH_f (0 K) ... -0.71 eV per atom
Magnetization ... 0.00 μB per formula unit

Lattice parameters (Å, degrees): 5.9830 5.9830 8.5539 103.55 103.55 42.65
With the nearest neighbours (Å) after each atom.
Atoms (fractional coordinates):
Li (0.1335, 0.1335, 0.3039)  3 Ge 2.48-2.49
Li (0.8665, 0.8665, 0.6961)  3 Ge 2.48-2.49
Pr (0.1534, 0.1534, 0.6743)  4 Li 3.12-3.25, 8 Ge 3.16-3.34
Pr (0.5000, 0.5000, 0.0000)  8 Ge 3.15-3.38, 4 Li 3.43
Pr (0.8466, 0.8466, 0.3257)  4 Li 3.12-3.25, 8 Ge 3.16-3.34
Ge (0.2104, 0.2104, 0.0557)  1 Li 2.48, 2 Ge 2.62
Ge (0.4354, 0.4354, 0.6070)  2 Li 2.49, 1 Ge 2.60
Ge (0.5646, 0.5646, 0.3930)  2 Li 2.49, 1 Ge 2.60
Ge (0.7896, 0.7896, 0.9443)  1 Li 2.48, 2 Ge 2.62



Material: Al3Si2Ni
Method: DFT, GGA-PBE
State: optimized geometry

Results
Formation energy from raw total energies ... -38 meV per atom
Magnetization ... 0.00 μB per formula unit

Lattice parameters (Å, degrees): 7.1890 7.1890 3.2026 90.00 90.00 147.85
With the nearest neighbours (Å) after each atom.
Atoms (fractional coordinates):
Al (0.0000, 0.0000, 0.0000)  4 Ni 2.55, 4 Si 2.71
Al (0.1815, 0.8185, 0.5000)  4 Si 2.64, 2 Al 2.75
Al (0.8185, 0.1815, 0.5000)  4 Si 2.64, 2 Al 2.75
Si (0.3664, 0.6336, 0.0000)  2 Ni 2.44, 6 Al 2.64-2.71
Si (0.6336, 0.3664, 0.0000)  2 Ni 2.44, 6 Al 2.64-2.71
Ni (0.5000, 0.5000, 0.5000)  4 Si 2.44, 4 Al 2.55



Material: GeMo2H
Method: DFT, GGA-PBE
State: optimized geometry

Results
Total energy ... -6.78 eV/atom
Magnetization ... 0.00 μB per formula unit

Lattice parameters (Å, degrees): 4.2151 4.2151 4.2151 60.00 60.00 60.00
With the nearest neighbours (Å) after each atom.
Atoms (fractional coordinates):
Ge (0.0000, 0.0000, 0.0000)  8 Mo 2.58
Mo (0.2500, 0.2500, 0.2500)  4 Ge 2.58, 4 H 2.58
Mo (0.7500, 0.7500, 0.7500)  4 Ge 2.58, 4 H 2.58
H (0.5000, 0.5000, 0.5000)  8 Mo 2.58



Material: Mg2NbCuPb
Method: DFT, GGA-PBE
State: optimized geometry

Results
ΔH_f (0 K) ... 0.71 eV per atom
Magnetization ... 2.48 μB per formula unit

Lattice parameters (Å, degrees): 4.7678 4.7678 5.0686 90.00 90.00 90.00
With the nearest neighbours (Å) after each atom.
Atoms (fractional coordinates):
Mg (0.0000, 0.5000, 0.0000)  2 Cu 2.38
Mg (0.5000, 0.0000, 0.0000)  2 Cu 2.38
Nb (0.0000, 0.0000, 0.5000)  4 Pb 3.37, 8 Mg 3.48
Cu (0.5000, 0.5000, 0.0000)  4 Mg 2.38, 2 Pb 2.53
Pb (0.5000, 0.5000, 0.5000)  2 Cu 2.53



Material: HoCd2InHg4
Method: DFT, GGA-PBE
State: optimized geometry

Results
ΔH_f (0 K) ... -0.03 eV per atom
Magnetization ... 0.00 μB per formula unit

Lattice parameters (Å, degrees): 4.3123 4.3123 11.9153 90.00 90.00 90.00
With the nearest neighbours (Å) after each atom.
Atoms (fractional coordinates):
Ho (0.0000, 0.0000, 0.0000)  8 Hg 3.11
Cd (0.5000, 0.5000, 0.3792)  1 Cd 2.88, 4 Hg 3.13
Cd (0.5000, 0.5000, 0.6208)  1 Cd 2.88, 4 Hg 3.13
In (0.0000, 0.0000, 0.5000)  8 Cd 3.37
Hg (0.0000, 0.5000, 0.1886)  4 Hg 3.05, 2 Ho 3.11, 2 Cd 3.13
Hg (0.0000, 0.5000, 0.8114)  4 Hg 3.05, 2 Ho 3.11, 2 Cd 3.13
Hg (0.5000, 0.0000, 0.1886)  4 Hg 3.05, 2 Ho 3.11, 2 Cd 3.13
Hg (0.5000, 0.0000, 0.8114)  4 Hg 3.05, 2 Ho 3.11, 2 Cd 3.13



Material: PuScPaNb
Method: DFT, GGA-PBE
State: optimized geometry

Results
ΔH_f (0 K) ... 0.14 eV per atom
Magnetization ... 5.80 μB per formula unit

Lattice parameters (Å, degrees): 4.9979 4.9979 4.9979 60.00 60.00 60.00
With the nearest neighbours (Å) after each atom.
Atoms (fractional coordinates):
Pu (0.0000, 0.0000, 0.0000)  4 Pa 3.06, 4 Sc 3.06
Sc (0.7500, 0.7500, 0.7500)  4 Nb 3.06, 4 Pu 3.06
Pa (0.2500, 0.2500, 0.2500)  4 Nb 3.06, 4 Pu 3.06
Nb (0.5000, 0.5000, 0.5000)  4 Pa 3.06, 4 Sc 3.06



Q: Among the records above, which one has the highest magnetization?
A: EuHoGe2